Material: TbNd4Ga2
Method: DFT, GGA-PBE
State: optimized geometry

Summary:
Its calculated total energy is -4.341 eV/atom.

a b c (Å): 5.0817 5.0817 30.4501
angles (deg): 90.00 90.00 120.00
Closest atoms and distances in Å follow each position.
Space group R-3m (No. 166, hexagonal axes)
Unique sites:
Tb (0.0000, 0.0000, 0.0000) [3 per cell]  2 Ga 3.00
Nd (0.0000, 0.0000, 0.2020) [6 per cell]  4 Ga 3.10-3.15
Nd (0.0000, 0.0000, 0.3959) [6 per cell]  3 Ga 3.13, 3 Tb 3.50
Ga (0.0000, 0.0000, 0.0985) [6 per cell]  1 Tb 3.00, 7 Nd 3.10-3.15

Material: TbNd2Ga4
Method: DFT, GGA-PBE
State: optimized geometry

Summary:
Its calculated total energy is -4.368 eV/atom.

a b c (Å): 4.1982 4.3333 18.7691
angles (deg): 90.00 90.00 90.00
Closest atoms and distances in Å follow each position.
Space group Immm (No. 71)
Unique sites:
Tb (0.0000, 0.0000, 0.0000) [2 per cell]  12 Ga 3.25-3.41
Nd (0.0000, 0.5000, 0.3158) [4 per cell]  7 Ga 3.12-3.29
Ga (0.0000, 0.0000, 0.4351) [4 per cell]  3 Ga 2.44-2.53
Ga (0.0000, 0.5000, 0.1405) [4 per cell]  2 Ga 2.53

Material: Tb3NdGa2
Method: DFT, GGA-PBE
State: optimized geometry

Summary:
For the energy relative to the lowest polymorph listed for this composition, the calculation gives 0.000 eV/atom.

a b c (Å): 5.0200 9.5900 6.6301
angles (deg): 90.00 90.00 90.00
Closest atoms and distances in Å follow each position.
Space group Pmc2_1 (No. 26)
Unique sites:
Tb (0.0000, 0.0530, 0.0000) [2 per cell]  3 Ga 3.10-3.14, 4 Tb 3.38-3.47
Tb (0.0000, 0.3177, 0.3581) [2 per cell]  4 Ga 3.08-3.14, 2 Nd 3.41
Tb (0.5000, 0.1735, 0.7058) [2 per cell]  4 Ga 3.02-3.15
Nd (0.5000, 0.4507, 0.0675) [2 per cell]  3 Ga 3.14-3.20, 2 Tb 3.41, 2 Nd 3.45
Ga (0.0000, 0.3555, 0.8187) [2 per cell]  5 Tb 3.08-3.15, 2 Nd 3.14
Ga (0.5000, 0.1402, 0.2428) [2 per cell]  6 Tb 3.02-3.13, 1 Nd 3.20

Material: Tb3Nd2Ga4
Method: DFT, GGA-PBE
State: optimized geometry

Summary:
For the energy relative to the lowest polymorph listed for this composition, the calculation gives 0.000 eV/atom.

a b c (Å): 8.0378 8.0632 7.5852
angles (deg): 90.00 106.44 90.00
Closest atoms and distances in Å follow each position.
Space group P2_1/c (No. 14)
Unique sites:
Tb (0.0000, 0.0000, 0.0000) [2 per cell]  6 Ga 3.05-3.24
Tb (0.2608, 0.1747, 0.7484) [4 per cell]  6 Ga 2.95-3.11
Nd (0.3097, 0.6822, 0.9261) [4 per cell]  6 Ga 3.13-3.47
Ga (0.0067, 0.6205, 0.1205) [4 per cell]  1 Ga 2.65
Ga (0.4194, 0.0305, 0.1322) [4 per cell]  1 Ga 2.72, 2 Tb 2.95-2.97

Material: Tb5NdGa6
Method: DFT, GGA-PBE
State: optimized geometry

Summary:
Its calculated total energy is -4.420 eV/atom.

a b c (Å): 5.0929 15.2963 7.2061
angles (deg): 90.00 90.00 90.00
Closest atoms and distances in Å follow each position.
Space group Cmmm (No. 65)
Unique sites:
Tb (0.0000, 0.0000, 0.0000) [2 per cell]  8 Ga 3.11-3.14
Tb (0.0000, 0.3327, 0.5000) [4 per cell]  8 Ga 3.10-3.14
Tb (0.0000, 0.3355, 0.0000) [4 per cell]  8 Ga 3.08-3.10
Nd (0.0000, 0.0000, 0.5000) [2 per cell]  8 Ga 3.13-3.17
Ga (0.0000, 0.1692, 0.2459) [8 per cell]  7 Tb 3.10-3.14, 1 Nd 3.17
Ga (0.0000, 0.5000, 0.2466) [4 per cell]  6 Tb 3.08-3.14, 2 Nd 3.13

Material: Tb6Nd2Ga
Method: DFT, GGA-PBE
State: optimized geometry

Summary:
Its calculated total energy is -4.454 eV/atom.

a b c (Å): 17.3358 9.3949 3.5402
angles (deg): 90.00 90.21 90.00
Closest atoms and distances in Å follow each position.
Space group C2/m (No. 12)
Unique sites:
Tb (0.0000, 0.2269, 0.0000) [4 per cell]  2 Ga 3.12, 4 Tb 3.45-3.47
Tb (0.1622, 0.3299, 0.4985) [8 per cell]  6 Tb 3.20-3.54, 1 Ga 3.23, 2 Nd 3.57-3.58
Nd (0.1740, 0.0000, 0.9976) [4 per cell]  2 Nd 3.54, 10 Tb 3.57-3.71
Ga (0.0000, 0.5000, 0.5000) [2 per cell]  8 Tb 3.12-3.23

Material: Tb8Nd2Ga
Method: DFT, GGA-PBE
State: optimized geometry

Summary:
Its calculated total energy is -4.528 eV/atom.

a b c (Å): 18.7996 5.4611 7.4630
angles (deg): 90.00 113.32 90.00
Closest atoms and distances in Å follow each position.
Space group C2/m (No. 12)
Unique sites:
Tb (0.9998, 0.0000, 0.2429) [4 per cell]  2 Ga 3.28, 7 Tb 3.54-3.64
Tb (0.1305, 0.5000, 0.3922) [4 per cell]  1 Ga 2.98
Tb (0.1311, 0.5000, 0.8704) [4 per cell]  1 Ga 2.98
Tb (0.1825, 0.0000, 0.1830) [4 per cell]  8 Tb 3.47-3.69, 4 Nd 3.49-3.74
Nd (0.1919, 0.0000, 0.6918) [4 per cell]  12 Tb 3.43-3.83
Ga (0.0000, 0.5000, 0.0000) [2 per cell]  8 Tb 2.98-3.28

Material: TbNdGa
Method: DFT, GGA-PBE
State: optimized geometry

Summary:
For the energy relative to the lowest polymorph listed for this composition, the calculation gives 0.000 eV/atom.

a b c (Å): 8.0036 8.0036 4.4961
angles (deg): 90.00 90.00 120.00
Closest atoms and distances in Å follow each position.
Space group P-62m (No. 189)
Unique sites:
Tb (0.0000, 0.2669, 0.0000) [3 per cell]  4 Ga 2.97-3.10
Nd (0.0000, 0.5989, 0.5000) [3 per cell]  5 Ga 3.21-3.32, 2 Tb 3.48
Ga (0.0000, 0.0000, 0.5000) [1 per cell]  6 Tb 3.10, 3 Nd 3.21
Ga (0.3333, 0.6667, 0.0000) [2 per cell]  3 Tb 2.97, 6 Nd 3.32

Material: Tb2NdGa2
Method: DFT, GGA-PBE
State: optimized geometry

Summary:
For the energy relative to the lowest polymorph listed for this composition, the calculation gives 0.099 eV/atom.

a b c (Å): 12.5986 3.7925 5.8850
angles (deg): 90.00 102.89 90.00
Closest atoms and distances in Å follow each position.
Space group C2/m (No. 12)
Unique sites:
Tb (0.1382, 0.0000, 0.0685) [4 per cell]  4 Ga 3.00-3.12
Nd (0.0000, 0.5000, 0.5000) [2 per cell]  4 Ga 3.17
Ga (0.2070, 0.0000, 0.6116) [4 per cell]  2 Ga 2.67

Material: TbNdGa
Method: DFT, GGA-PBE
State: optimized geometry

Summary:
For the energy relative to the lowest polymorph listed for this composition, the calculation gives 0.058 eV/atom.

a b c (Å): 3.5398 3.5398 13.3458
angles (deg): 90.00 90.00 90.00
Closest atoms and distances in Å follow each position.
Space group I4mm (No. 107)
Unique sites:
Tb (0.0000, 0.0000, 0.0000) [2 per cell]  4 Ga 3.10
Nd (0.0000, 0.0000, 0.7120) [2 per cell]  4 Ga 3.21, 4 Nd 3.54
Ga (0.0000, 0.0000, 0.3627) [2 per cell]  4 Tb 3.10, 4 Nd 3.21

Material: TbNd2Ga
Method: DFT, GGA-PBE
State: optimized geometry

Summary:
For the energy relative to the lowest polymorph listed for this composition, the calculation gives 0.025 eV/atom.

a b c (Å): 4.8120 4.8120 4.8532
angles (deg): 90.00 90.00 90.00
Closest atoms and distances in Å follow each position.
Space group P4/mmm (No. 123)
Unique sites:
Tb (0.0000, 0.0000, 0.0000) [1 per cell]  4 Ga 3.40, 8 Nd 3.42
Nd (0.0000, 0.5000, 0.5000) [2 per cell]  4 Nd 3.40, 4 Tb 3.42, 4 Ga 3.42
Ga (0.5000, 0.5000, 0.0000) [1 per cell]  4 Tb 3.40, 8 Nd 3.42

Material: Tb7NdGa4
Method: DFT, GGA-PBE
State: optimized geometry

Summary:
Its calculated total energy is -4.300 eV/atom.

a b c (Å): 13.7241 5.5192 10.3058
angles (deg): 90.00 124.10 90.00
Closest atoms and distances in Å follow each position.
Space group C2/m (No. 12)
Unique sites:
Tb (0.0000, 0.0000, 0.0000) [2 per cell]  2 Nd 2.76, 4 Ga 2.88-2.96
Tb (0.0654, 0.5000, 0.3891) [4 per cell]  3 Ga 3.03-3.14, 2 Tb 3.19-3.37
Tb (0.2024, 0.0000, 0.6417) [4 per cell]  4 Ga 2.89-3.12
Tb (0.2098, 0.5000, 0.8779) [4 per cell]  4 Tb 3.19-3.47, 4 Ga 3.23-3.29
Nd (0.0000, 0.5000, 0.0000) [2 per cell]  2 Tb 2.76
Ga (0.0553, 0.0000, 0.7602) [4 per cell]  1 Ga 2.83, 4 Tb 2.89-3.14
Ga (0.1811, 0.0000, 0.3305) [4 per cell]  1 Ga 2.83, 5 Tb 2.88-3.12

Material: TbNdGa
Method: DFT, GGA-PBE
State: optimized geometry

Summary:
For the energy relative to the lowest polymorph listed for this composition, the calculation gives 0.276 eV/atom.

a b c (Å): 4.9432 4.9432 8.7139
angles (deg): 90.00 90.00 120.00
Closest atoms and distances in Å follow each position.
Space group P-6m2 (No. 187)
Unique sites:
Tb (0.0000, 0.0000, 0.0000) [1 per cell]  2 Ga 3.06
Tb (0.3333, 0.6667, 0.5000) [1 per cell]  6 Ga 3.13
Nd (0.6667, 0.3333, 0.2246) [2 per cell]  3 Ga 3.06
Ga (0.0000, 0.0000, 0.3514) [2 per cell]  1 Ga 2.59

Material: Tb3NdGa3
Method: DFT, GGA-PBE
State: optimized geometry

Summary:
Its calculated total energy is -4.400 eV/atom.

a b c (Å): 9.3052 9.3052 4.7992
angles (deg): 90.00 90.00 120.00
Closest atoms and distances in Å follow each position.
Space group P6_3/m (No. 176)
Unique sites:
Tb (0.0194, 0.2579, 0.2500) [6 per cell]  4 Ga 2.95-3.09
Nd (0.3333, 0.6667, 0.7500) [2 per cell]  9 Ga 3.23-3.36
Ga (0.0566, 0.6074, 0.2500) [6 per cell]  4 Tb 2.95-3.09, 2 Ga 2.96, 1 Nd 3.23

Material: TbNd2Ga
Method: DFT, GGA-PBE
State: optimized geometry

Summary:
For the energy relative to the lowest polymorph listed for this composition, the calculation gives 0.000 eV/atom.

a b c (Å): 3.7093 9.9950 6.7082
angles (deg): 90.00 106.03 90.00
Closest atoms and distances in Å follow each position.
Space group P2_1/m (No. 11)
Unique sites:
Tb (0.0575, 0.2500, 0.1128) [2 per cell]  2 Ga 3.03-3.04
Nd (0.3642, 0.0476, 0.7281) [4 per cell]  3 Ga 3.16-3.28
Ga (0.2557, 0.7500, 0.5147) [2 per cell]  2 Tb 3.03-3.04, 6 Nd 3.16-3.28

Material: TbNd2Ga
Method: DFT, GGA-PBE
State: optimized geometry

Summary:
For the energy relative to the lowest polymorph listed for this composition, the calculation gives 0.021 eV/atom.

a b c (Å): 3.6123 3.6123 9.0909
angles (deg): 90.00 90.00 90.00
Closest atoms and distances in Å follow each position.
Space group P4/mmm (No. 123)
Unique sites:
Tb (0.0000, 0.0000, 0.0000) [1 per cell]  4 Tb 3.61, 8 Nd 3.66
Nd (0.5000, 0.5000, 0.2885) [2 per cell]  4 Ga 3.20
Ga (0.0000, 0.0000, 0.5000) [1 per cell]  8 Nd 3.20

Material: Tb2NdGa2
Method: DFT, GGA-PBE
State: optimized geometry

Summary:
For the energy relative to the lowest polymorph listed for this composition, the calculation gives 0.000 eV/atom.

a b c (Å): 7.7296 7.7296 4.4006
angles (deg): 90.00 90.00 90.00
Closest atoms and distances in Å follow each position.
Space group P4/mbm (No. 127)
Unique sites:
Tb (0.1738, 0.3262, 0.0000) [4 per cell]  6 Ga 3.17-3.18
Nd (0.0000, 0.0000, 0.5000) [2 per cell]  4 Ga 3.09
Ga (0.1180, 0.6180, 0.5000) [4 per cell]  1 Ga 2.58

Material: TbNd4Ga5
Method: DFT, GGA-PBE
State: optimized geometry

Summary:
Its calculated total energy is -4.447 eV/atom.

a b c (Å): 3.6704 3.6704 18.4040
angles (deg): 90.00 90.00 90.00
Closest atoms and distances in Å follow each position.
Space group P4/mmm (No. 123)
Unique sites:
Tb (0.0000, 0.0000, 0.0000) [1 per cell]  8 Ga 3.10
Nd (0.0000, 0.0000, 0.1956) [2 per cell]  8 Ga 3.20-3.21
Nd (0.0000, 0.0000, 0.3986) [2 per cell]  8 Ga 3.20
Ga (0.5000, 0.5000, 0.0925) [2 per cell]  4 Tb 3.10, 4 Nd 3.21, 1 Ga 3.41
Ga (0.5000, 0.5000, 0.2970) [2 per cell]  8 Nd 3.20
Ga (0.5000, 0.5000, 0.5000) [1 per cell]  8 Nd 3.20

Material: Tb3NdGa
Method: DFT, GGA-PBE
State: optimized geometry

Summary:
Its calculated total energy is -4.409 eV/atom.

a b c (Å): 11.9784 8.8939 7.7470
angles (deg): 90.00 128.92 90.00
Closest atoms and distances in Å follow each position.
Space group C2/m (No. 12)
Unique sites:
Tb (0.0692, 0.0000, 0.2664) [4 per cell]  2 Ga 2.92-3.00
Tb (0.2074, 0.1931, 0.7438) [8 per cell]  2 Ga 2.89-3.08
Nd (0.0541, 0.5000, 0.3241) [4 per cell]  1 Ga 3.01
Ga (0.2390, 0.0000, 0.1018) [4 per cell]  6 Tb 2.89-3.08, 1 Nd 3.01

Material: Tb2Nd2ZnGa4
Method: DFT, GGA-PBE
State: optimized geometry

Summary:
Its calculated total energy is -3.907 eV/atom.

a b c (Å): 7.0287 7.0287 8.8352
angles (deg): 90.00 90.00 90.00
Closest atoms and distances in Å follow each position.
Space group I4/mmm (No. 139)
Unique sites:
Tb (0.0000, 0.0000, 0.1858) [4 per cell]  1 Zn 2.78, 4 Ga 3.02
Nd (0.0000, 0.5000, 0.2500) [4 per cell]  8 Ga 3.33, 4 Tb 3.56
Zn (0.0000, 0.0000, 0.5000) [2 per cell]  4 Ga 2.43
Ga (0.2446, 0.2446, 0.5000) [8 per cell]  1 Zn 2.43

Calculated DOS(E_F) in order - 11.90 5.82 5.82 8.05 4.35 12.41 15.23 3.46 5.49 2.68 6.48 11.99 5.12 5.50 5.15 4.29 5.47 4.27 6.35 7.84 states/eV/f.u.
Calculated V in order - 681.0 341.4 319.2 471.5 561.4 576.6 703.6 249.4 274.1 167.2 112.4 646.4 184.4 359.9 239.0 118.6 262.9 247.9 642.1 436.5 Å³ per cell